Entry 1:
DFT (PBE) results for a relaxed SmRhC crystal.

Computed properties:
D(E_F) = 1.33 states/eV/cell
E = -0.532 Ry per atom
formation energy = -0.140 eV per atom
E above lowest polymorph = 0.00 kcal/mol of atoms

Cell: 3.371 3.371 5.033 Å, 90.00 90.00 120.00°
Atoms (fractional coordinates):
Sm 0.000 0.000 0.000
Rh 0.667 0.333 0.532
C 0.333 0.667 0.675



Entry 2:
DFT (PBE) results for a relaxed SnRhC3 crystal.

Computed properties:
D(E_F) = 4.07 states/eV/cell
E = -0.344 Ry per atom
formation energy = 3.131 eV per atom
E above lowest polymorph = 23.23 kcal/mol of atoms

Cell: 4.216 4.216 4.216 Å, 90.00 90.00 90.00°
Atoms (fractional coordinates):
Sn 0.000 0.000 0.000
Rh 0.500 0.500 0.500
C 0.000 0.000 0.500
C 0.000 0.500 0.000
C 0.500 0.000 0.000



Entry 3:
DFT (PBE) results for a relaxed Sn2RhC crystal.

Computed properties:
D(E_F) = 10.42 states/eV/cell
E = -0.409 Ry per atom
formation energy = 0.584 eV per atom

Cell: 6.044 6.044 8.604 Å, 90.00 90.00 90.00°
Atoms (fractional coordinates):
Sn 0.195 0.250 0.125
Sn 0.250 0.695 0.375
Sn 0.250 0.805 0.875
Sn 0.305 0.250 0.625
Sn 0.695 0.750 0.625
Sn 0.750 0.195 0.875
Sn 0.750 0.305 0.375
Sn 0.805 0.750 0.125
Rh 0.000 0.000 0.500
Rh 0.000 0.500 0.750
Rh 0.500 0.000 0.250
Rh 0.500 0.500 0.000
C 0.000 0.000 0.000
C 0.000 0.500 0.250
C 0.500 0.000 0.750
C 0.500 0.500 0.500



Entry 4:
DFT (PBE) results for a relaxed SnRhC3 crystal.

Computed properties:
D(E_F) = 3.72 states/eV/cell
E = -0.418 Ry per atom
formation energy = 2.124 eV per atom
E above lowest polymorph = 0.00 kcal/mol of atoms

Cell: 4.065 4.065 4.065 Å, 90.00 90.00 90.00°
Atoms (fractional coordinates):
Sn 0.000 0.000 0.000
Rh 0.500 0.500 0.500
C 0.000 0.500 0.500
C 0.500 0.000 0.500
C 0.500 0.500 0.000



Entry 5:
DFT (PBE) results for a relaxed Sr2RhC crystal.

Computed properties:
D(E_F) = 8.18 states/eV/cell
E = -0.299 Ry per atom
formation energy = 0.915 eV per atom

Cell: 7.586 7.586 6.654 Å, 90.00 90.00 90.00°
Atoms (fractional coordinates):
Sr 0.213 0.750 0.125
Sr 0.250 0.213 0.875
Sr 0.250 0.287 0.375
Sr 0.287 0.750 0.625
Sr 0.713 0.250 0.625
Sr 0.750 0.713 0.375
Sr 0.750 0.787 0.875
Sr 0.787 0.250 0.125
Rh 0.000 0.000 0.500
Rh 0.000 0.500 0.750
Rh 0.500 0.000 0.250
Rh 0.500 0.500 0.000
C 0.000 0.000 0.000
C 0.000 0.500 0.250
C 0.500 0.000 0.750
C 0.500 0.500 0.500



Entry 6:
DFT (PBE) results for a relaxed SrRhC3 crystal.

Computed properties:
D(E_F) = 5.32 states/eV/cell
E = -0.257 Ry per atom
formation energy = 3.845 eV per atom
E above lowest polymorph = 51.54 kcal/mol of atoms

Cell: 4.398 4.398 4.398 Å, 90.00 90.00 90.00°
Atoms (fractional coordinates):
Sr 0.000 0.000 0.000
Rh 0.500 0.500 0.500
C 0.000 0.000 0.500
C 0.000 0.500 0.000
C 0.500 0.000 0.000